## Ac2PmTl3Se6 (GGA-PBE)

Data for Ac2PmTl3Se6 after structural relaxation.

Geometry as CIF:
```
data_Ac2PmTl3Se6
_chemical_formula_sum 'Ac4 Pm2 Tl6 Se12'
_cell_length_a 7.7675
_cell_length_b 13.4493
_cell_length_c 8.1415
_cell_angle_alpha 90.00
_cell_angle_beta 108.52
_cell_angle_gamma 90.00
_space_group_name_H-M_alt 'C 1 2/m 1'
_space_group_IT_number 12
_space_group_name_Hall '-C 2y'
loop_
_atom_site_label
_atom_site_type_symbol
_atom_site_fract_x
_atom_site_fract_y
_atom_site_fract_z
_atom_site_occupancy
Ac1 Ac 0.0000 0.1667 0.0000 1
Pm1 Pm 0.0000 0.5000 0.0000 1
Tl1 Tl 0.0000 0.0000 0.5000 1
Tl2 Tl 0.0000 0.3335 0.5000 1
Se1 Se 0.2314 0.3399 0.2137 1
Se2 Se 0.2482 0.5000 0.7836 1
```

Output
DOS(E_F): 0.00 states/eV/f.u.
calculated volume: 33.60 Å³ per atom
formation energy from raw total energies: -1417.3 meV per atom
magnetization: 0.00 μB per cell